Entry 1:
# KMgAsRu2, relaxed, DFT PBE-GGA
# V: 105 Å³/cell
# DFT formation energy: 11.3 eV/f.u.
data_KMgAsRu2
_cell_length_a 4.636
_cell_length_b 4.895
_cell_length_c 4.636
_cell_angle_alpha 90.00
_cell_angle_beta 90.00
_cell_angle_gamma 90.00
_space_group_name_H-M_alt 'P 1'
_space_group_IT_number 1
_space_group_name_Hall 'P 1'
loop_
_atom_site_label
_atom_site_fract_x
_atom_site_fract_y
_atom_site_fract_z
Mg1 0.000 0.500 0.000
Ru1 0.500 0.000 0.000
Ru2 0.000 0.000 0.500
K1 0.000 0.000 0.000
As1 0.500 0.500 0.500



Entry 2:
# KMgSc2As, relaxed, DFT PBE-GGA
# V: 150 Å³/cell
# DFT formation energy: 0.1 eV/f.u.
data_KMgSc2As
_cell_length_a 5.265
_cell_length_b 5.405
_cell_length_c 5.265
_cell_angle_alpha 90.00
_cell_angle_beta 90.00
_cell_angle_gamma 90.00
_space_group_name_H-M_alt 'P 1'
_space_group_IT_number 1
_space_group_name_Hall 'P 1'
loop_
_atom_site_label
_atom_site_fract_x
_atom_site_fract_y
_atom_site_fract_z
K1 0.500 0.500 0.500
As1 0.000 0.000 0.000
Sc1 0.500 0.000 0.000
Sc2 0.000 0.000 0.500
Mg1 0.000 0.500 0.000



Entry 3:
# K2MgAsSe4, relaxed, DFT PBE-GGA
# V: 430 Å³/cell
# raw total energy: -56.00 eV per cell
data_K2MgAsSe4
_cell_length_a 8.496
_cell_length_b 8.496
_cell_length_c 8.929
_cell_angle_alpha 121.70
_cell_angle_beta 121.70
_cell_angle_gamma 90.25
_space_group_name_H-M_alt 'P 1'
_space_group_IT_number 1
_space_group_name_Hall 'P 1'
loop_
_atom_site_label
_atom_site_fract_x
_atom_site_fract_y
_atom_site_fract_z
Se1 0.225 0.687 0.456
Se2 0.187 0.725 0.956
Se3 0.775 0.313 0.544
Se4 0.765 0.735 0.961
Se5 0.235 0.265 0.039
Se6 0.235 0.265 0.461
Se7 0.765 0.735 0.539
Se8 0.813 0.275 0.044
As1 0.000 0.000 0.000
As2 0.500 0.500 0.500
K1 0.500 0.500 0.000
K2 0.000 0.000 0.500
K3 0.500 0.000 0.000
K4 0.500 0.000 0.500
Mg1 0.000 0.500 0.500
Mg2 0.000 0.500 0.000



Entry 4:
# KSrMgAs2, relaxed, DFT PBE-GGA
# V: 168 Å³/cell
# DFT formation energy: 2.5 eV/f.u.
data_KSrMgAs2
_cell_length_a 5.633
_cell_length_b 5.633
_cell_length_c 5.303
_cell_angle_alpha 90.00
_cell_angle_beta 90.00
_cell_angle_gamma 90.00
_space_group_name_H-M_alt 'P 1'
_space_group_IT_number 1
_space_group_name_Hall 'P 1'
loop_
_atom_site_label
_atom_site_fract_x
_atom_site_fract_y
_atom_site_fract_z
Mg1 0.000 0.000 0.500
As1 0.500 0.000 0.000
As2 0.000 0.500 0.000
Sr1 0.500 0.500 0.500
K1 0.000 0.000 0.000